5
Lattice="-3.919 0.896 2.079 1.927 -0.858 4.003 1.187 4.352 0.361" Properties=species:S:1:pos:R:3 comment="Zn3CrFe, optimized geometry, DFT PBE" vol_a3_per_cell=92.7 crystal_system=cubic total_energy_ev_per_atom=-3.61 m_tot_mub_per_cell=5.53 dos_at_fermi_per_ev_atom=0.713 delta_e_f_ev_per_atom=0.77 polymorph_energy_mev_per_atom=0.0 pbc="T T T"
Cr -0.402 2.195 3.222
Zn 0.964 -0.429 2.002
Zn 0.593 2.176 0.181
Zn -1.959 0.448 1.039
Fe 0.000 0.000 0.000